Crystalline ErNpGe2 at its relaxed geometry, computed with PBE.

```
data_ErNpGe2
_chemical_formula_sum 'Er3 Np3 Ge6'
_cell_length_a 4.7462
_cell_length_b 4.7462
_cell_length_c 13.9033
_cell_angle_alpha 90.00
_cell_angle_beta 90.00
_cell_angle_gamma 120.00
_space_group_name_H-M_alt 'R -3 m'
_space_group_IT_number 166
_space_group_name_Hall '-R 3 2"'
loop_
_atom_site_label
_atom_site_type_symbol
_atom_site_fract_x
_atom_site_fract_y
_atom_site_fract_z
Er1 Er 0.0000 0.0000 0.0000
Np1 Np 0.0000 0.0000 0.5000
Ge1 Ge 0.0000 0.0000 0.2488
```

## Properties
**Offset from the most stable computed form**: 0.057 eV per atom
**Energy of formation from the pure elements**: -0.31 eV/atom

=====

Crystalline ErNpGe2O8 at its relaxed geometry, computed with PBE.

```
data_ErNpGe2O8
_chemical_formula_sum 'Er2 Np2 Ge4 O16'
_cell_length_a 7.004
_cell_length_b 7.004
_cell_length_c 6.449
_cell_angle_alpha 90.00
_cell_angle_beta 90.00
_cell_angle_gamma 90.00
_space_group_name_H-M_alt 'I -4 m 2'
_space_group_IT_number 119
_space_group_name_Hall 'I -4 -2'
loop_
_atom_site_label
_atom_site_type_symbol
_atom_site_fract_x
_atom_site_fract_y
_atom_site_fract_z
Er1 Er 0.000 0.000 0.000
Np1 Np 0.000 0.500 0.250
Ge1 Ge 0.000 0.000 0.500
Ge2 Ge 0.000 0.500 0.750
O1 O 0.000 0.189 0.317
O2 O 0.000 0.317 0.938
```

## Properties
**Uncorrected formation energy**: -2.409 eV per atom

=====

Crystalline Er2NpGe2Rh5 at its relaxed geometry, computed with PBE.

```
data_Er2NpGe2Rh5
_chemical_formula_sum 'Er4 Np2 Ge4 Rh10'
_cell_length_a 9.794
_cell_length_b 9.794
_cell_length_c 3.720
_cell_angle_alpha 90.00
_cell_angle_beta 90.00
_cell_angle_gamma 90.00
_space_group_name_H-M_alt 'P 4/m b m'
_space_group_IT_number 127
_space_group_name_Hall '-P 4 2ab'
loop_
_atom_site_label
_atom_site_type_symbol
_atom_site_fract_x
_atom_site_fract_y
_atom_site_fract_z
Er1 Er 0.171 0.329 0.000
Np1 Np 0.000 0.000 0.000
Ge1 Ge 0.126 0.626 0.000
Rh1 Rh 0.000 0.500 0.500
Rh2 Rh 0.068 0.790 0.500
```

## Properties
**Energy of formation from the pure elements**: -0.74 eV/atom

=====

Number 1: total magnetization 12.1 Bohr magnetons per cell. Number 2: total magnetization 4.0 Bohr magnetons per cell. Number 3: total magnetization 6.1 Bohr magnetons per cell.